Material: Sr2GaHPd
Method: DFT, PBE-GGA
State: optimized geometry

Lattice parameters (Å, degrees): 5.483 5.483 3.736 90.00 90.00 90.00
Atoms (fractional coordinates):
Sr (0.000, 0.500, 0.000)
Sr (0.500, 0.000, 0.000)
Ga (0.000, 0.000, 0.500)
H (0.500, 0.500, 0.000)
Pd (0.500, 0.500, 0.500)

## Properties
As for the symmetry: No. 123. The calculation puts the final energy at -3.436 eV per atom.

Material: PuAl2TlO8
Method: DFT, PBE-GGA
State: optimized geometry

Lattice parameters (Å, degrees): 5.824 5.824 5.824 108.42 108.42 111.60
Atoms (fractional coordinates):
Pu (0.000, 0.000, 0.000)
Al (0.250, 0.750, 0.500)
Al (0.500, 0.500, 0.000)
Tl (0.750, 0.250, 0.500)
O (0.076, 0.374, 0.298)
O (0.076, 0.777, 0.702)
O (0.125, 0.306, 0.820)
O (0.223, 0.924, 0.298)
O (0.486, 0.306, 0.180)
O (0.626, 0.924, 0.702)
O (0.694, 0.514, 0.820)
O (0.694, 0.875, 0.180)

## Properties
As for the symmetry: No. 119. The formation energy from raw total energies is -1.938 eV per atom. The calculation puts the final energy at -7.259 eV per atom.

Material: CaTmCuPt
Method: DFT, PBE-GGA
State: optimized geometry

Lattice parameters (Å, degrees): 4.235 3.850 10.933 90.00 90.00 90.00
Atoms (fractional coordinates):
Ca (0.000, 0.000, 0.000)
Ca (0.000, 0.500, 0.500)
Tm (0.500, 0.000, 0.281)
Tm (0.500, 0.500, 0.781)
Cu (0.500, 0.000, 0.576)
Cu (0.500, 0.500, 0.076)
Pt (0.000, 0.000, 0.724)
Pt (0.000, 0.500, 0.224)

## Properties
The offset from the most stable computed form is 0.00 eV per formula unit. As for the symmetry: No. 38. The calculation puts the final energy at -4.858 eV per atom.

Material: PbS2N2
Method: DFT, PBE-GGA
State: optimized geometry

Lattice parameters (Å, degrees): 4.102 4.102 4.497 90.00 90.00 90.00
Atoms (fractional coordinates):
Pb (0.000, 0.000, 0.000)
S (0.000, 0.500, 0.500)
S (0.500, 0.000, 0.500)
N (0.500, 0.500, 0.000)
N (0.500, 0.500, 0.500)

## Properties
The offset from the most stable computed form is 0.73 eV per formula unit. As for the symmetry: No. 123. The formation energy from raw total energies is 1.506 eV per atom. The calculation puts the final energy at -4.217 eV per atom.

Material: Sn3SeS
Method: DFT, PBE-GGA
State: optimized geometry

Lattice parameters (Å, degrees): 5.379 5.379 5.379 90.00 90.00 90.00
Atoms (fractional coordinates):
Sn (0.000, 0.000, 0.500)
Sn (0.000, 0.500, 0.000)
Sn (0.500, 0.000, 0.000)
Se (0.500, 0.500, 0.500)
S (0.000, 0.000, 0.000)

## Properties
The offset from the most stable computed form is 2.06 eV per formula unit. As for the symmetry: No. 221. The formation energy from raw total energies is 0.275 eV per atom. The calculation puts the final energy at -3.649 eV per atom.

Material: Cs2ErI6
Method: DFT, PBE-GGA
State: optimized geometry

Lattice parameters (Å, degrees): 8.417 8.417 14.154 90.00 90.00 120.00
Atoms (fractional coordinates):
Cs (0.000, 0.000, 0.000)
Cs (0.000, 0.000, 0.500)
Cs (0.333, 0.667, 0.249)
Cs (0.667, 0.333, 0.749)
Er (0.333, 0.667, 0.624)
Er (0.667, 0.333, 0.124)
I (0.001, 0.501, 0.499)
I (0.164, 0.328, 0.745)
I (0.164, 0.836, 0.745)
I (0.328, 0.164, 0.245)
I (0.499, 0.501, 0.499)
I (0.499, 0.999, 0.499)
I (0.501, 0.001, 0.999)
I (0.501, 0.499, 0.999)
I (0.672, 0.836, 0.745)
I (0.836, 0.164, 0.245)
I (0.836, 0.672, 0.245)
I (0.999, 0.499, 0.999)

## Properties
As for the symmetry: No. 186. The formation energy from raw total energies is -1.263 eV per atom. The calculation puts the final energy at -2.993 eV per atom.

Material: Ta2SbAu
Method: DFT, PBE-GGA
State: optimized geometry

Lattice parameters (Å, degrees): 3.066 3.066 28.364 90.00 90.00 120.00
Atoms (fractional coordinates):
Ta (0.000, 0.000, 0.248)
Ta (0.000, 0.000, 0.752)
Ta (0.333, 0.667, 0.419)
Ta (0.333, 0.667, 0.915)
Ta (0.667, 0.333, 0.085)
Ta (0.667, 0.333, 0.581)
Sb (0.000, 0.000, 0.000)
Sb (0.333, 0.667, 0.667)
Sb (0.667, 0.333, 0.333)
Au (0.000, 0.000, 0.500)
Au (0.333, 0.667, 0.167)
Au (0.667, 0.333, 0.833)

## Properties
As for the symmetry: No. 166. The formation energy from raw total energies is 0.262 eV per atom. The calculation puts the final energy at -7.514 eV per atom.

Material: LaInN2F
Method: DFT, PBE-GGA
State: optimized geometry

Lattice parameters (Å, degrees): 4.661 4.661 4.669 90.00 90.00 90.00
Atoms (fractional coordinates):
La (0.000, 0.000, 0.000)
In (0.500, 0.500, 0.500)
N (0.000, 0.500, 0.000)
N (0.500, 0.000, 0.000)
F (0.000, 0.000, 0.500)

## Properties
The offset from the most stable computed form is 2.48 eV per formula unit. As for the symmetry: No. 123. The formation energy from raw total energies is -0.267 eV per atom. The calculation puts the final energy at -5.505 eV per atom.

Material: NbGaNiOs
Method: DFT, PBE-GGA
State: optimized geometry

Lattice parameters (Å, degrees): 3.980 3.980 7.330 90.00 90.00 90.00
Atoms (fractional coordinates):
Nb (0.000, 0.000, 0.000)
Nb (0.500, 0.500, 0.500)
Ga (0.000, 0.000, 0.500)
Ga (0.500, 0.500, 0.000)
Ni (0.000, 0.500, 0.250)
Ni (0.500, 0.000, 0.750)
Os (0.000, 0.500, 0.750)
Os (0.500, 0.000, 0.250)

## Properties
The offset from the most stable computed form is 0.00 eV per formula unit. As for the symmetry: No. 119. The calculation puts the final energy at -7.779 eV per atom.

Material: PmPr2YHo5
Method: DFT, PBE-GGA
State: optimized geometry

Lattice parameters (Å, degrees): 9.960 9.960 9.960 128.16 128.16 76.37
Atoms (fractional coordinates):
Pm (0.250, 0.250, 0.000)
Pm (0.750, 0.750, 0.000)
Pr (0.118, 0.618, 0.735)
Pr (0.382, 0.118, 0.500)
Pr (0.618, 0.882, 0.500)
Pr (0.882, 0.382, 0.265)
Y (0.250, 0.750, 0.500)
Y (0.750, 0.250, 0.500)
Ho (0.000, 0.000, 0.000)
Ho (0.073, 0.148, 0.500)
Ho (0.148, 0.648, 0.075)
Ho (0.352, 0.427, 0.500)
Ho (0.427, 0.927, 0.075)
Ho (0.500, 0.500, 0.000)
Ho (0.573, 0.073, 0.925)
Ho (0.648, 0.573, 0.500)
Ho (0.852, 0.352, 0.925)
Ho (0.927, 0.852, 0.500)

## Properties
As for the symmetry: No. 140. The calculation puts the final energy at -4.589 eV per atom.

Material: LiTiF5
Method: DFT, PBE-GGA
State: optimized geometry

Lattice parameters (Å, degrees): 3.891 6.483 7.513 90.00 90.00 90.00
Atoms (fractional coordinates):
Li (0.000, 0.000, 0.000)
Li (0.500, 0.500, 0.500)
Ti (0.000, 0.000, 0.500)
Ti (0.500, 0.500, 0.000)
F (0.000, 0.000, 0.253)
F (0.000, 0.000, 0.747)
F (0.000, 0.287, 0.500)
F (0.000, 0.500, 0.000)
F (0.000, 0.713, 0.500)
F (0.500, 0.000, 0.500)
F (0.500, 0.213, 0.000)
F (0.500, 0.500, 0.247)
F (0.500, 0.500, 0.753)
F (0.500, 0.787, 0.000)

## Properties
The offset from the most stable computed form is 0.14 eV per formula unit. As for the symmetry: No. 71. The formation energy from raw total energies is -3.265 eV per atom. The calculation puts the final energy at -6.002 eV per atom.

Material: PrTaIO4
Method: DFT, PBE-GGA
State: optimized geometry

Lattice parameters (Å, degrees): 7.486 7.486 7.017 104.86 104.86 51.99
Atoms (fractional coordinates):
Pr (0.206, 0.206, 0.313)
Pr (0.794, 0.794, 0.687)
Ta (0.110, 0.110, 0.699)
Ta (0.890, 0.890, 0.301)
I (0.458, 0.458, 0.801)
I (0.542, 0.542, 0.199)
O (0.036, 0.036, 0.347)
O (0.046, 0.598, 0.380)
O (0.159, 0.159, 0.974)
O (0.402, 0.954, 0.620)
O (0.598, 0.046, 0.380)
O (0.841, 0.841, 0.026)
O (0.954, 0.402, 0.620)
O (0.964, 0.964, 0.653)

## Properties
As for the symmetry: No. 12. The formation energy from raw total energies is -2.572 eV per atom. The calculation puts the final energy at -8.003 eV per atom.